Arrangement w

5
Lattice="4.896 0.000 0.000 0.000 4.896 0.000 0.000 0.000 5.014" Properties=species:S:1:pos:R:3 comment="AgPdSCl2, optimized geometry, DFT PBE-GGA" dos_ef_per_ev_cell=5.97 pbc="T T T"
Ag 0.000 0.000 0.000
Pd 2.448 2.448 2.507
S 0.000 0.000 2.507
Cl 0.000 2.448 0.000
Cl 2.448 0.000 0.000



Arrangement x

5
Lattice="4.946 0.000 0.000 0.000 4.946 0.000 0.000 0.000 4.650" Properties=species:S:1:pos:R:3 comment="AgPdSCl2, optimized geometry, DFT PBE-GGA" dos_ef_per_ev_cell=3.83 pbc="T T T"
Ag 0.000 0.000 0.000
Pd 2.473 2.473 2.325
S 2.473 2.473 0.000
Cl 0.000 2.473 2.325
Cl 2.473 0.000 2.325



Which of them is the least stable? Correct choice: arrangement w.